## Ca2BeN2 (PBE)

Data for crystalline Ca2BeN2 at its relaxed geometry.

Formation energy without anion corrections: -840 meV per atom
Density: 3.118 Mg/m³
Total energy: -5.716 eV/atom
Size of the total moment: 0.00 μB/cell
Calculated volume: 12.48 Å³/atom

a = 5.3282 Å, b = 9.8030 Å, c = 4.7790 Å
α = 90.00°, β = 90.00°, γ = 90.00°
Closest atoms and distances in Å follow each position.
Space group Ibam (No. 72)
One atom of each set of equivalent atoms:
1 Ca 0.1796 0.1439 0.0000 x8  6 N 2.49-2.75, 2 Be 2.52
2 Be 0.0000 0.5000 0.2500 x4  4 N 1.84
3 N 0.1890 0.4004 0.0000 x8  2 Be 1.84